Arrangement a

A relaxed LuTiPb2 crystal. Source: Alexandria via LeMat-Bulk, functional GGA-PBE.

CIF file:
```
data_LuTiPb2
_cell_length_a 7.3386
_cell_length_b 7.3386
_cell_length_c 7.3386
_cell_angle_alpha 90.00
_cell_angle_beta 90.00
_cell_angle_gamma 90.00
_symmetry_space_group_name_H-M 'F m -3 m'
_symmetry_Int_Tables_number 225
_symmetry_space_group_name_Hall '-F 4 2 3'
loop_
_atom_site_label
_atom_site_type_symbol
_atom_site_fract_x
_atom_site_fract_y
_atom_site_fract_z
Lu1 Lu 0.0000 0.0000 0.0000
Ti1 Ti 0.0000 0.0000 0.5000
Pb1 Pb 0.2500 0.2500 0.2500
```

Calculated values
As for the density of states at the Fermi level: 5.16 states/eV/f.u. The calculated volume comes out at 24.70 Å³/atom.

***

Arrangement b

A relaxed LuTiPb2 crystal. Source: Alexandria via LeMat-Bulk, functional GGA-PBE.

CIF file:
```
data_LuTiPb2
_cell_length_a 3.8220
_cell_length_b 3.8220
_cell_length_c 6.6640
_cell_angle_alpha 90.00
_cell_angle_beta 90.00
_cell_angle_gamma 90.00
_symmetry_space_group_name_H-M 'P 4/m m m'
_symmetry_Int_Tables_number 123
_symmetry_space_group_name_Hall '-P 4 2'
loop_
_atom_site_label
_atom_site_type_symbol
_atom_site_fract_x
_atom_site_fract_y
_atom_site_fract_z
Lu1 Lu 0.0000 0.0000 0.0000
Ti1 Ti 0.0000 0.0000 0.5000
Pb1 Pb 0.5000 0.5000 0.2700
```

Calculated values
As for the density of states at the Fermi level: 4.47 states/eV/f.u. The calculated volume comes out at 24.34 Å³/atom.

***

Arrangement c

A relaxed LuTiPb2 crystal. Source: Alexandria via LeMat-Bulk, functional GGA-PBE.

CIF file:
```
data_LuTiPb2
_cell_length_a 3.3815
_cell_length_b 3.3815
_cell_length_c 29.8868
_cell_angle_alpha 90.00
_cell_angle_beta 90.00
_cell_angle_gamma 120.00
_symmetry_space_group_name_H-M 'R -3 m'
_symmetry_Int_Tables_number 166
_symmetry_space_group_name_Hall '-R 3 2"'
loop_
_atom_site_label
_atom_site_type_symbol
_atom_site_fract_x
_atom_site_fract_y
_atom_site_fract_z
Lu1 Lu 0.0000 0.0000 0.0000
Ti1 Ti 0.0000 0.0000 0.5000
Pb1 Pb 0.0000 0.0000 0.2438
```

Calculated values
As for the density of states at the Fermi level: 2.91 states/eV/f.u. The calculated volume comes out at 24.66 Å³/atom.

***

Quick one: most stable of them? arrangement b

***

Arrangement a

A relaxed LuTl2Pb crystal. Source: Alexandria via LeMat-Bulk, functional GGA-PBE.

CIF file:
```
data_LuTl2Pb
_cell_length_a 4.6353
_cell_length_b 4.6353
_cell_length_c 5.1294
_cell_angle_alpha 90.00
_cell_angle_beta 90.00
_cell_angle_gamma 90.00
_symmetry_space_group_name_H-M 'P 4/m m m'
_symmetry_Int_Tables_number 123
_symmetry_space_group_name_Hall '-P 4 2'
loop_
_atom_site_label
_atom_site_type_symbol
_atom_site_fract_x
_atom_site_fract_y
_atom_site_fract_z
Lu1 Lu 0.0000 0.0000 0.0000
Tl1 Tl 0.0000 0.5000 0.5000
Pb1 Pb 0.5000 0.5000 0.0000
```

Calculated values
As for the density of states at the Fermi level: 2.06 states/eV/f.u. The calculated volume comes out at 27.55 Å³/atom.

***

Arrangement b

A relaxed LuTl2Pb crystal. Source: Alexandria via LeMat-Bulk, functional GGA-PBE.

CIF file:
```
data_LuTl2Pb
_cell_length_a 7.7195
_cell_length_b 7.7195
_cell_length_c 7.7195
_cell_angle_alpha 90.00
_cell_angle_beta 90.00
_cell_angle_gamma 90.00
_symmetry_space_group_name_H-M 'F m -3 m'
_symmetry_Int_Tables_number 225
_symmetry_space_group_name_Hall '-F 4 2 3'
loop_
_atom_site_label
_atom_site_type_symbol
_atom_site_fract_x
_atom_site_fract_y
_atom_site_fract_z
Lu1 Lu 0.0000 0.0000 0.0000
Tl1 Tl 0.2500 0.2500 0.2500
Pb1 Pb 0.0000 0.0000 0.5000
```

Calculated values
As for the density of states at the Fermi level: 2.52 states/eV/f.u. The calculated volume comes out at 28.75 Å³/atom.

***

Quick one: most stable of them? arrangement a

***

Arrangement a

A relaxed LuTlPb2 crystal. Source: Alexandria via LeMat-Bulk, functional GGA-PBE.

CIF file:
```
data_LuTlPb2
_cell_length_a 4.1040
_cell_length_b 4.1040
_cell_length_c 6.9361
_cell_angle_alpha 90.00
_cell_angle_beta 90.00
_cell_angle_gamma 90.00
_symmetry_space_group_name_H-M 'P 4/m m m'
_symmetry_Int_Tables_number 123
_symmetry_space_group_name_Hall '-P 4 2'
loop_
_atom_site_label
_atom_site_type_symbol
_atom_site_fract_x
_atom_site_fract_y
_atom_site_fract_z
Lu1 Lu 0.0000 0.0000 0.0000
Tl1 Tl 0.0000 0.0000 0.5000
Pb1 Pb 0.5000 0.5000 0.2334
```

Calculated values
As for the density of states at the Fermi level: 3.22 states/eV/f.u. The calculated volume comes out at 29.21 Å³/atom.

***

Arrangement b

A relaxed LuTlPb2 crystal. Source: Alexandria via LeMat-Bulk, functional GGA-PBE.

CIF file:
```
data_LuTlPb2
_cell_length_a 4.7909
_cell_length_b 4.7909
_cell_length_c 4.8949
_cell_angle_alpha 90.00
_cell_angle_beta 90.00
_cell_angle_gamma 90.00
_symmetry_space_group_name_H-M 'P 4/m m m'
_symmetry_Int_Tables_number 123
_symmetry_space_group_name_Hall '-P 4 2'
loop_
_atom_site_label
_atom_site_type_symbol
_atom_site_fract_x
_atom_site_fract_y
_atom_site_fract_z
Lu1 Lu 0.0000 0.0000 0.0000
Tl1 Tl 0.5000 0.5000 0.0000
Pb1 Pb 0.0000 0.5000 0.5000
```

Calculated values
As for the density of states at the Fermi level: 2.33 states/eV/f.u. The calculated volume comes out at 28.09 Å³/atom.

***

Arrangement c

A relaxed LuTlPb2 crystal. Source: Alexandria via LeMat-Bulk, functional GGA-PBE.

CIF file:
```
data_LuTlPb2
_cell_length_a 7.7976
_cell_length_b 7.7976
_cell_length_c 7.7976
_cell_angle_alpha 90.00
_cell_angle_beta 90.00
_cell_angle_gamma 90.00
_symmetry_space_group_name_H-M 'F m -3 m'
_symmetry_Int_Tables_number 225
_symmetry_space_group_name_Hall '-F 4 2 3'
loop_
_atom_site_label
_atom_site_type_symbol
_atom_site_fract_x
_atom_site_fract_y
_atom_site_fract_z
Lu1 Lu 0.0000 0.0000 0.0000
Tl1 Tl 0.0000 0.0000 0.5000
Pb1 Pb 0.2500 0.2500 0.2500
```

Calculated values
As for the density of states at the Fermi level: 4.37 states/eV/f.u. The calculated volume comes out at 29.63 Å³/atom.

***

Quick one: most stable of them? arrangement b

***

Arrangement a

A relaxed TmLuPb crystal. Source: Alexandria via LeMat-Bulk, functional GGA-PBE.

CIF file:
```
data_TmLuPb
_cell_length_a 3.5583
_cell_length_b 3.5583
_cell_length_c 13.4543
_cell_angle_alpha 90.00
_cell_angle_beta 90.00
_cell_angle_gamma 90.00
_symmetry_space_group_name_H-M 'I 4 m m'
_symmetry_Int_Tables_number 107
_symmetry_space_group_name_Hall 'I 4 -2'
loop_
_atom_site_label
_atom_site_type_symbol
_atom_site_fract_x
_atom_site_fract_y
_atom_site_fract_z
Tm1 Tm 0.0000 0.0000 0.0000
Lu1 Lu 0.0000 0.0000 0.3255
Pb1 Pb 0.0000 0.0000 0.6635
```

Calculated values
As for the density of states at the Fermi level: 2.11 states/eV/f.u. The calculated volume comes out at 28.39 Å³/atom.

***

Arrangement b

A relaxed TmLuPb crystal. Source: Alexandria via LeMat-Bulk, functional GGA-PBE.

CIF file:
```
data_TmLuPb
_cell_length_a 5.2415
_cell_length_b 5.2415
_cell_length_c 3.6490
_cell_angle_alpha 90.00
_cell_angle_beta 90.00
_cell_angle_gamma 120.00
_symmetry_space_group_name_H-M 'P 3 m 1'
_symmetry_Int_Tables_number 156
_symmetry_space_group_name_Hall 'P 3 -2"'
loop_
_atom_site_label
_atom_site_type_symbol
_atom_site_fract_x
_atom_site_fract_y
_atom_site_fract_z
Tm1 Tm 0.0000 0.0000 0.0000
Lu1 Lu 0.3333 0.6667 0.5370
Pb1 Pb 0.6667 0.3333 0.2900
```

Calculated values
As for the density of states at the Fermi level: 3.73 states/eV/f.u. The calculated volume comes out at 28.94 Å³/atom.

***

Quick one: most stable of them? arrangement a

***

Arrangement a

A relaxed YLu2Pb crystal. Source: Alexandria via LeMat-Bulk, functional GGA-PBE.

CIF file:
```
data_YLu2Pb
_cell_length_a 3.6181
_cell_length_b 3.6181
_cell_length_c 8.9615
_cell_angle_alpha 90.00
_cell_angle_beta 90.00
_cell_angle_gamma 90.00
_symmetry_space_group_name_H-M 'P 4/m m m'
_symmetry_Int_Tables_number 123
_symmetry_space_group_name_Hall '-P 4 2'
loop_
_atom_site_label
_atom_site_type_symbol
_atom_site_fract_x
_atom_site_fract_y
_atom_site_fract_z
Y1 Y 0.0000 0.0000 0.0000
Lu1 Lu 0.5000 0.5000 0.2644
Pb1 Pb 0.0000 0.0000 0.5000
```

Calculated values
As for the density of states at the Fermi level: 4.14 states/eV/f.u. The calculated volume comes out at 29.33 Å³/atom.

***

Arrangement b

A relaxed YLu2Pb crystal. Source: Alexandria via LeMat-Bulk, functional GGA-PBE.

CIF file:
```
data_YLu2Pb
_cell_length_a 4.8160
_cell_length_b 4.8160
_cell_length_c 4.8125
_cell_angle_alpha 90.00
_cell_angle_beta 90.00
_cell_angle_gamma 90.00
_symmetry_space_group_name_H-M 'P 4/m m m'
_symmetry_Int_Tables_number 123
_symmetry_space_group_name_Hall '-P 4 2'
loop_
_atom_site_label
_atom_site_type_symbol
_atom_site_fract_x
_atom_site_fract_y
_atom_site_fract_z
Y1 Y 0.0000 0.0000 0.0000
Lu1 Lu 0.0000 0.5000 0.5000
Pb1 Pb 0.5000 0.5000 0.0000
```

Calculated values
As for the density of states at the Fermi level: 5.31 states/eV/f.u. The calculated volume comes out at 27.91 Å³/atom.

***

Quick one: most stable of them? arrangement b

***

Arrangement a

A relaxed LuZrPb2 crystal. Source: Alexandria via LeMat-Bulk, functional GGA-PBE.

CIF file:
```
data_LuZrPb2
_cell_length_a 3.4212
_cell_length_b 3.4212
_cell_length_c 30.8399
_cell_angle_alpha 90.00
_cell_angle_beta 90.00
_cell_angle_gamma 120.00
_symmetry_space_group_name_H-M 'R -3 m'
_symmetry_Int_Tables_number 166
_symmetry_space_group_name_Hall '-R 3 2"'
loop_
_atom_site_label
_atom_site_type_symbol
_atom_site_fract_x
_atom_site_fract_y
_atom_site_fract_z
Lu1 Lu 0.0000 0.0000 0.0000
Zr1 Zr 0.0000 0.0000 0.5000
Pb1 Pb 0.0000 0.0000 0.2472
```

Calculated values
As for the density of states at the Fermi level: 3.05 states/eV/f.u. The calculated volume comes out at 26.05 Å³/atom.

***

Arrangement b

A relaxed LuZrPb2 crystal. Source: Alexandria via LeMat-Bulk, functional GGA-PBE.

CIF file:
```
data_LuZrPb2
_cell_length_a 7.4449
_cell_length_b 7.4449
_cell_length_c 7.4449
_cell_angle_alpha 90.00
_cell_angle_beta 90.00
_cell_angle_gamma 90.00
_symmetry_space_group_name_H-M 'F m -3 m'
_symmetry_Int_Tables_number 225
_symmetry_space_group_name_Hall '-F 4 2 3'
loop_
_atom_site_label
_atom_site_type_symbol
_atom_site_fract_x
_atom_site_fract_y
_atom_site_fract_z
Lu1 Lu 0.0000 0.0000 0.0000
Zr1 Zr 0.0000 0.0000 0.5000
Pb1 Pb 0.2500 0.2500 0.2500
```

Calculated values
As for the density of states at the Fermi level: 4.85 states/eV/f.u. The calculated volume comes out at 25.79 Å³/atom.

***

Arrangement c

A relaxed LuZrPb2 crystal. Source: Alexandria via LeMat-Bulk, functional GGA-PBE.

CIF file:
```
data_LuZrPb2
_cell_length_a 3.9366
_cell_length_b 3.9366
_cell_length_c 6.6144
_cell_angle_alpha 90.00
_cell_angle_beta 90.00
_cell_angle_gamma 90.00
_symmetry_space_group_name_H-M 'P 4/m m m'
_symmetry_Int_Tables_number 123
_symmetry_space_group_name_Hall '-P 4 2'
loop_
_atom_site_label
_atom_site_type_symbol
_atom_site_fract_x
_atom_site_fract_y
_atom_site_fract_z
Lu1 Lu 0.0000 0.0000 0.0000
Zr1 Zr 0.0000 0.0000 0.5000
Pb1 Pb 0.5000 0.5000 0.2617
```

Calculated values
As for the density of states at the Fermi level: 3.39 states/eV/f.u. The calculated volume comes out at 25.63 Å³/atom.

***

Quick one: most stable of them? arrangement c

***

Arrangement a

A relaxed PmLu2Pd crystal. Source: Alexandria via LeMat-Bulk, functional GGA-PBE.

CIF file:
```
data_PmLu2Pd
_cell_length_a 3.5037
_cell_length_b 3.5037
_cell_length_c 8.5028
_cell_angle_alpha 90.00
_cell_angle_beta 90.00
_cell_angle_gamma 90.00
_symmetry_space_group_name_H-M 'P 4/m m m'
_symmetry_Int_Tables_number 123
_symmetry_space_group_name_Hall '-P 4 2'
loop_
_atom_site_label
_atom_site_type_symbol
_atom_site_fract_x
_atom_site_fract_y
_atom_site_fract_z
Pm1 Pm 0.0000 0.0000 0.0000
Lu1 Lu 0.5000 0.5000 0.3066
Pd1 Pd 0.0000 0.0000 0.5000
```

Calculated values
As for the density of states at the Fermi level: 4.15 states/eV/f.u. The calculated volume comes out at 26.10 Å³/atom.

***

Arrangement b

A relaxed PmLu2Pd crystal. Source: Alexandria via LeMat-Bulk, functional GGA-PBE.

CIF file:
```
data_PmLu2Pd
_cell_length_a 3.6473
_cell_length_b 3.6473
_cell_length_c 28.9276
_cell_angle_alpha 90.00
_cell_angle_beta 90.00
_cell_angle_gamma 120.00
_symmetry_space_group_name_H-M 'R -3 m'
_symmetry_Int_Tables_number 166
_symmetry_space_group_name_Hall '-R 3 2"'
loop_
_atom_site_label
_atom_site_type_symbol
_atom_site_fract_x
_atom_site_fract_y
_atom_site_fract_z
Pm1 Pm 0.0000 0.0000 0.0000
Lu1 Lu 0.0000 0.0000 0.2309
Pd1 Pd 0.0000 0.0000 0.5000
```

Calculated values
As for the density of states at the Fermi level: 4.01 states/eV/f.u. The calculated volume comes out at 27.77 Å³/atom.

***

Quick one: most stable of them? arrangement a